No. 1
The following is a PBE calculation of a relaxed structure of KBeRu2, from Alexandria via LeMat-Bulk.

Results
E (eV per atom): -4.9620

a = 2.8748 Å, b = 4.6624 Å, c = 9.8477 Å
α = 90.00°, β = 90.00°, γ = 90.00°
Space group Cmm2 (No. 35)
One atom of each set of equivalent atoms:
K 0.0000 0.0000 0.0000 (multiplicity 2)
Be 0.0000 0.5000 0.3037 (multiplicity 2)
Ru 0.0000 0.0000 0.4874 (multiplicity 2)
Ru 0.0000 0.5000 0.7103 (multiplicity 2)

---

No. 2
The following is a PBE calculation of a relaxed structure of K2BeRu, from Alexandria via LeMat-Bulk.

Results
E (eV per atom): -2.5075

a = 2.8556 Å, b = 5.4701 Å, c = 5.5353 Å
α = 90.00°, β = 90.00°, γ = 90.00°
Space group Pmmm (No. 47)
One atom of each set of equivalent atoms:
K 0.0000 0.0000 0.2489 (multiplicity 2)
Be 0.5000 0.5000 0.5000 (multiplicity 1)
Ru 0.5000 0.5000 0.0000 (multiplicity 1)

---

No. 3
The following is a PBE calculation of a relaxed structure of KBeRu2, from Alexandria via LeMat-Bulk.

Results
E (eV per atom): -5.2445

a = 2.8788 Å, b = 2.8788 Å, c = 8.1322 Å
α = 90.00°, β = 90.00°, γ = 90.00°
Space group P4/mmm (No. 123)
One atom of each set of equivalent atoms:
K 0.0000 0.0000 0.0000 (multiplicity 1)
Be 0.0000 0.0000 0.5000 (multiplicity 1)
Ru 0.5000 0.5000 0.3479 (multiplicity 2)

---

No. 4
The following is a PBE calculation of a relaxed structure of KBeRu2, from Alexandria via LeMat-Bulk.

Results
E (eV per atom): -4.7451

a = 2.6722 Å, b = 5.4211 Å, c = 10.0236 Å
α = 90.00°, β = 90.00°, γ = 90.00°
Space group Imm2 (No. 44)
One atom of each set of equivalent atoms:
K 0.0000 0.0000 0.0000 (multiplicity 2)
Be 0.0000 0.5000 0.2070 (multiplicity 2)
Ru 0.0000 0.0000 0.5190 (multiplicity 2)
Ru 0.0000 0.5000 0.8027 (multiplicity 2)

---

No. 5
The following is a PBE calculation of a relaxed structure of K2BeRu, from Alexandria via LeMat-Bulk.

Results
E (eV per atom): -3.3006

a = 3.2569 Å, b = 3.2693 Å, c = 10.1370 Å
α = 90.00°, β = 98.75°, γ = 90.00°
Space group Pm (No. 6)
One atom of each set of equivalent atoms:
K 0.0000 0.0000 0.0000 (multiplicity 1)
K 0.2607 0.5000 0.5631 (multiplicity 1)
Be 0.1295 0.0000 0.2901 (multiplicity 1)
Ru 0.6219 0.5000 0.2731 (multiplicity 1)

---

No. 6
The following is a PBE calculation of a relaxed structure of KBe4Ru, from Alexandria via LeMat-Bulk.

Results
E (eV per atom): -3.4840

a = 6.7050 Å, b = 6.7050 Å, c = 6.7050 Å
α = 90.00°, β = 90.00°, γ = 90.00°
Space group F-43m (No. 216)
One atom of each set of equivalent atoms:
K 0.0000 0.0000 0.0000 (multiplicity 4)
Be 0.1197 0.1197 0.3803 (multiplicity 16)
Ru 0.2500 0.2500 0.7500 (multiplicity 4)

---

No. 7
The following is a PBE calculation of a relaxed structure of KBeRu2, from Alexandria via LeMat-Bulk.

Results
E (eV per atom): -4.6112

a = 6.3262 Å, b = 6.3262 Å, c = 6.3262 Å
α = 90.00°, β = 90.00°, γ = 90.00°
Space group F-43m (No. 216)
One atom of each set of equivalent atoms:
K 0.0000 0.0000 0.0000 (multiplicity 4)
Be 0.2500 0.2500 0.2500 (multiplicity 4)
Ru 0.0000 0.0000 0.5000 (multiplicity 4)
Ru 0.2500 0.2500 0.7500 (multiplicity 4)

---

No. 8
The following is a PBE calculation of a relaxed structure of KBeRu2, from Alexandria via LeMat-Bulk.

Results
E (eV per atom): -4.3912

a = 3.8682 Å, b = 3.8682 Å, c = 8.7741 Å
α = 90.00°, β = 90.00°, γ = 90.00°
Space group I4/mmm (No. 139)
One atom of each set of equivalent atoms:
K 0.0000 0.0000 0.0000 (multiplicity 2)
Be 0.0000 0.0000 0.5000 (multiplicity 2)
Ru 0.0000 0.5000 0.2500 (multiplicity 4)

---

No. 9
The following is a PBE calculation of a relaxed structure of KBeRu2, from Alexandria via LeMat-Bulk.

Results
E (eV per atom): -5.1801

a = 2.8686 Å, b = 4.5914 Å, c = 9.3890 Å
α = 90.00°, β = 90.00°, γ = 90.00°
Space group Cmmm (No. 65)
One atom of each set of equivalent atoms:
K 0.0000 0.0000 0.0000 (multiplicity 2)
Be 0.0000 0.0000 0.5000 (multiplicity 2)
Ru 0.0000 0.5000 0.3053 (multiplicity 4)

---

No. 10
The following is a PBE calculation of a relaxed structure of KBeRu2, from Alexandria via LeMat-Bulk.

Results
E (eV per atom): -5.0515

a = 2.5880 Å, b = 5.0074 Å, c = 9.8854 Å
α = 90.00°, β = 90.00°, γ = 90.00°
Space group Immm (No. 71)
One atom of each set of equivalent atoms:
K 0.0000 0.0000 0.0000 (multiplicity 2)
Be 0.0000 0.0000 0.5000 (multiplicity 2)
Ru 0.0000 0.5000 0.2049 (multiplicity 4)

---

No. 11
The following is a PBE calculation of a relaxed structure of KBeRu2, from Alexandria via LeMat-Bulk.

Results
E (eV per atom): -4.4201

a = 3.8110 Å, b = 3.8110 Å, c = 4.5221 Å
α = 90.00°, β = 90.00°, γ = 90.00°
Space group P4/mmm (No. 123)
One atom of each set of equivalent atoms:
K 0.0000 0.0000 0.0000 (multiplicity 1)
Be 0.5000 0.5000 0.0000 (multiplicity 1)
Ru 0.0000 0.5000 0.5000 (multiplicity 2)

---

No. 12
The following is a PBE calculation of a relaxed structure of KBeRu2, from Alexandria via LeMat-Bulk.

Results
E (eV per atom): -5.3583

a = 2.7827 Å, b = 3.6284 Å, c = 7.4237 Å
α = 90.00°, β = 90.00°, γ = 90.00°
Space group Pmm2 (No. 25)
One atom of each set of equivalent atoms:
K 0.0000 0.0000 0.0000 (multiplicity 1)
Be 0.5000 0.5000 0.6553 (multiplicity 1)
Ru 0.0000 0.0000 0.5203 (multiplicity 1)
Ru 0.5000 0.5000 0.3611 (multiplicity 1)